# 1
DFT (PBE) results for an optimized crystal structure of Na4Hf3ZrS8.

Unit cell a=7.2992 b=7.2992 c=20.5356 alpha=90.00 beta=90.00 gamma=120.00
With the nearest neighbours (Å) after each atom.
Space group R-3m (No. 166, hexagonal axes)
Unique sites:
Na (0.0000, 0.0000, 0.0000) [3 per cell]  6 S 2.81
Na (0.0000, 0.5000, 0.0000) [9 per cell]  6 S 2.84
Hf (0.0000, 0.5000, 0.5000) [9 per cell]  6 S 2.59
Zr (0.0000, 0.0000, 0.5000) [3 per cell]  6 S 2.63
S (0.0000, 0.0000, 0.2403) [6 per cell]  3 Hf 2.59, 3 Na 2.84
S (0.0044, 0.5022, 0.7588) [18 per cell]  2 Hf 2.59, 1 Zr 2.63, 3 Na 2.81-2.84

Output
calculated density	5.1	Mg/m³
final energy	-6.27	eV/atom
formation energy (no corrections)	-2272	kJ/mol of formula units
total moment	0.00	μB per cell

# 2
DFT (PBE) results for an optimized crystal structure of Na2Hf2ZrS6.

Unit cell a=6.2924 b=10.9235 c=7.2302 alpha=90.00 beta=106.73 gamma=90.00
With the nearest neighbours (Å) after each atom.
Space group C2/m (No. 12)
Unique sites:
Na (0.0000, 0.1652, 0.0000) [4 per cell]  6 S 2.86-2.88
Hf (0.0000, 0.3334, 0.5000) [4 per cell]  6 S 2.57-2.58
Zr (0.0000, 0.0000, 0.5000) [2 per cell]  6 S 2.61-2.62
S (0.2321, 0.5000, 0.7185) [4 per cell]  2 Hf 2.57, 1 Zr 2.62, 2 Na 2.88
S (0.2417, 0.1691, 0.7183) [8 per cell]  2 Hf 2.57-2.58, 1 Zr 2.61, 2 Na 2.86-2.87

Output
calculated density	4.8	Mg/m³
final energy	-6.61	eV/atom
formation energy (no corrections)	-1631	kJ/mol of formula units
total moment	0.00	μB per cell